ScNi6H3 | PBE-GGA | relaxed

Cell: 5.1686 5.1702 5.2142 Å, 89.89 119.93 120.11°
Each line ends with the local moment (μB).
Fractional coordinates of all 10 atoms:
Sc  0.8239  0.9125  0.7366  -0.04
Ni  0.3327  0.4172  0.7408  0.13
Ni  0.3062  0.8911  0.2359  0.21
Ni  0.8209  0.9348  0.2362  0.22
Ni  0.3162  0.9106  0.7341  0.13
Ni  0.8241  0.4067  0.7411  0.14
Ni  0.3502  0.4178  0.2381  0.21
H  0.6213  0.3067  0.9347  0.00
H  0.3176  0.6603  0.9742  0.00
H  0.2867  0.1424  0.4283  0.00

## Properties
Density: 6.7 g/cm³
Calculated total energy: -5.120 eV per atom

=====

CoHIr2Rh | PBE-GGA | relaxed

Cell: 4.7066 4.6309 4.7066 Å, 90.00 90.00 90.00°
Each line ends with the local moment (μB).
Fractional coordinates of all 5 atoms:
Co  0.0000  0.5000  0.0000  2.18
Ir  0.0000  0.0000  0.5000  0.37
Ir  0.5000  0.0000  0.0000  0.27
Rh  0.0000  0.0000  0.0000  0.32
H  0.5000  0.5000  0.5000  0.25

## Properties
Density: 8.9 g/cm³
Energy above the most stable polymorph in this dataset: 2138 meV/atom

=====

CsBiBr | PBE-GGA | relaxed

Cell: 4.5750 5.1445 13.7801 Å, 102.06 70.82 89.99°
Fractional coordinates of all 6 atoms:
Bi  0.6442  0.4827  0.6792
Bi  0.1167  0.8745  0.7069
Cs  0.4460  0.7308  0.3737
Cs  0.3153  0.0252  0.0092
Br  0.8826  0.2683  0.4379
Br  0.7330  0.5710  0.0928

## Properties
Formation energy without anion corrections: -973 meV per atom
Density: 4.7 g/cm³
Energy above the most stable polymorph in this dataset: 59 meV/atom